Run w
Material: CePuThSn
Method: DFT, GGA-PBE
State: optimized geometry

Cell and atoms, written as extended XYZ:
```
4
Lattice="-3.4685 2.3435 2.2008 -2.6259 -0.1973 -3.9283 1.1331 -5.3074 2.3559" Properties=species:S:1:pos:R:3 pbc="T T T"
Sn -3.0472 1.0731 -0.8637
Ce 0.0000 0.0000 0.0000
Pu -2.6913 -0.9454 1.8465
Th -2.2700 -2.2158 -1.2180
```

- Total magnetic moment: 6.6 μB per formula unit
- SG: I-4m2
- Calculated density: 11.18 g cm⁻³



Run x
Material: CePuThSn
Method: DFT, GGA-PBE
State: optimized geometry

Cell and atoms, written as extended XYZ:
```
4
Lattice="5.3955 0.0000 0.0000 2.6977 4.6726 0.0000 2.6977 1.5575 4.4054" Properties=species:S:1:pos:R:3 pbc="T T T"
Th 0.0000 0.0000 0.0000
Ce 2.6977 1.5575 1.1013
Sn 5.3955 3.1151 2.2027
Pu 8.0932 4.6726 3.3040
```

- Total magnetic moment: 7.8 μB per formula unit
- SG: F-43m
- Calculated density: 10.99 g cm⁻³



The calculated energies rank the structures as follows, beginning with the most stable: run w, run x.



Run w
Material: TbCe2Pu
Method: DFT, GGA-PBE
State: optimized geometry

Cell and atoms, written as extended XYZ:
```
4
Lattice="4.7259 0.0000 0.0000 0.0000 4.8719 0.0000 0.0000 0.0000 4.8719" Properties=species:S:1:pos:R:3 pbc="T T T"
Pu 2.3630 0.0000 0.0000
Ce 0.0000 0.0000 2.4359
Ce 0.0000 2.4359 0.0000
Tb 2.3630 2.4359 2.4359
```

- Total magnetic moment: 6.9 μB per formula unit
- SG: P4/mmm
- Calculated density: 10.11 g cm⁻³



Run x
Material: TbCe2Pu
Method: DFT, GGA-PBE
State: optimized geometry

Cell and atoms, written as extended XYZ:
```
4
Lattice="5.4719 0.0000 0.0000 2.7360 4.7388 0.0000 2.7360 1.5796 4.4678" Properties=species:S:1:pos:R:3 pbc="T T T"
Pu 0.0000 0.0000 0.0000
Ce 8.2079 4.7388 3.3509
Ce 2.7360 1.5796 1.1170
Tb 5.4719 3.1592 2.2339
```

- Total magnetic moment: 8.8 μB per formula unit
- SG: Fm-3m
- Calculated density: 9.79 g cm⁻³



The calculated energies rank the structures as follows, beginning with the most stable: run w, run x.



Run w
Material: TbCePu
Method: DFT, GGA-PBE
State: optimized geometry

Cell and atoms, written as extended XYZ:
```
3
Lattice="-1.7116 -2.3827 -1.8060 2.6985 -0.3352 -2.1153 2.1750 -3.7520 6.1748" Properties=species:S:1:pos:R:3 pbc="T T T"
Pu 1.3287 -2.9587 -0.6416
Tb 1.7729 -3.3957 2.7998
Ce 0.0603 -0.1155 0.0952
```

- Total magnetic moment: 5.2 μB per formula unit
- SG: I4mm
- Calculated density: 10.64 g cm⁻³



Run x
Material: TbCePu
Method: DFT, GGA-PBE
State: optimized geometry

Cell and atoms, written as extended XYZ:
```
6
Lattice="-1.0970 -1.1816 3.0173 4.9474 -0.4890 1.6072 -0.2244 8.8376 3.3793" Properties=species:S:1:pos:R:3 pbc="T T T"
Pu 2.2676 7.8741 3.9079
Pu -0.5667 0.1282 1.7836
Tb 1.7918 4.4227 4.3228
Tb -0.0909 3.5796 1.3687
Ce -0.1772 6.9782 2.6683
Ce 1.8780 1.0241 3.0232
```

- Total magnetic moment: 5.8 μB per formula unit
- SG: Pmmn
- Calculated density: 10.66 g cm⁻³



Run y
Material: TbCePu
Method: DFT, GGA-PBE
State: optimized geometry

Cell and atoms, written as extended XYZ:
```
3
Lattice="-2.2758 1.0157 -1.9869 -3.4751 -3.8295 2.0227 0.2283 5.0416 2.3158" Properties=species:S:1:pos:R:3 pbc="T T T"
Tb -2.6202 -0.7031 1.7890
Pu -2.5234 2.7618 0.8934
Ce -0.3790 0.1691 -0.3309
```

- Total magnetic moment: 6.1 μB per formula unit
- SG: P-6m2
- Calculated density: 10.60 g cm⁻³



The calculated energies rank the structures as follows, beginning with the most stable: run w, run x, run y.



Run w
Material: CePuTe
Method: DFT, GGA-PBE
State: optimized geometry

Cell and atoms, written as extended XYZ:
```
3
Lattice="4.1720 0.0000 0.0000 0.0000 4.1720 0.0000 -2.0860 -2.0860 4.6456" Properties=species:S:1:pos:R:3 pbc="T T T"
Pu 0.0000 0.0000 2.8731
Ce 0.0000 0.0000 0.2171
Te 2.0860 2.0860 1.5554
```

- Total magnetic moment: 6.7 μB per formula unit
- SG: I4mm
- Calculated density: 10.51 g cm⁻³



Run x
Material: CePuTe
Method: DFT, GGA-PBE
State: optimized geometry

Cell and atoms, written as extended XYZ:
```
3
Lattice="3.6124 0.0000 0.0000 0.0000 4.9946 0.0000 0.0000 -2.4973 4.3255" Properties=species:S:1:pos:R:3 pbc="T T T"
Ce 1.8084 0.0000 2.8836
Te 0.0002 0.0000 0.0000
Pu 1.8038 2.4973 1.4418
```

- Total magnetic moment: 7.3 μB per formula unit
- SG: P-6m2
- Calculated density: 10.89 g cm⁻³



The calculated energies rank the structures as follows, beginning with the most stable: run w, run x.



Run w
Material: CePu2Th
Method: DFT, GGA-PBE
State: optimized geometry

Cell and atoms, written as extended XYZ:
```
4
Lattice="-1.1917 1.5584 -2.8307 0.4065 -1.4821 -3.0822 -9.7494 -5.0603 -0.7766" Properties=species:S:1:pos:R:3 pbc="T T T"
Ce 0.0000 0.0000 0.0000
Pu -7.9629 -3.7712 -5.0093
Pu -2.5717 -1.2128 -1.6802
Th -5.2673 -2.4920 -3.3448
```

- Total magnetic moment: 10.9 μB per formula unit
- SG: R-3m
- Calculated density: 12.84 g cm⁻³



Run x
Material: CePu2Th
Method: DFT, GGA-PBE
State: optimized geometry

Cell and atoms, written as extended XYZ:
```
4
Lattice="3.8794 0.0000 0.0000 0.0000 3.8794 0.0000 0.0000 0.0000 7.4672" Properties=species:S:1:pos:R:3 pbc="T T T"
Th 1.9397 1.9397 0.0000
Ce 1.9397 1.9397 3.7336
Pu 0.0000 0.0000 2.0271
Pu 0.0000 0.0000 5.4401
```

- Total magnetic moment: 13.6 μB per formula unit
- SG: P4/mmm
- Calculated density: 12.71 g cm⁻³



Run y
Material: CePu2Th
Method: DFT, GGA-PBE
State: optimized geometry

Cell and atoms, written as extended XYZ:
```
4
Lattice="5.4500 0.0000 0.0000 2.7250 4.7199 0.0000 2.7250 1.5733 4.4499" Properties=species:S:1:pos:R:3 pbc="T T T"
Pu 2.7250 1.5733 1.1125
Pu 8.1750 4.7199 3.3374
Ce 5.4500 3.1466 2.2250
Th 0.0000 0.0000 0.0000
```

- Total magnetic moment: 14.0 μB per formula unit
- SG: Fm-3m
- Calculated density: 12.48 g cm⁻³



The calculated energies rank the structures as follows, beginning with the most stable: run w, run x, run y.



Run w
Material: CePu2Th
Method: DFT, GGA-PBE
State: optimized geometry

Cell and atoms, written as extended XYZ:
```
4
Lattice="4.7042 0.0000 0.0000 0.0000 4.8198 0.0000 0.0000 0.0000 4.8198" Properties=species:S:1:pos:R:3 pbc="T T T"
Pu 0.0000 2.4099 0.0000
Pu 0.0000 0.0000 2.4099
Th 2.3521 2.4099 2.4099
Ce 2.3521 0.0000 0.0000
```

- Total magnetic moment: 10.6 μB per formula unit
- SG: P4/mmm
- Calculated density: 13.07 g cm⁻³



Run x
Material: CePu2Th
Method: DFT, GGA-PBE
State: optimized geometry

Cell and atoms, written as extended XYZ:
```
4
Lattice="3.9726 0.0000 0.0000 1.9863 3.4403 0.0000 1.9863 1.1468 7.8711" Properties=species:S:1:pos:R:3 pbc="T T T"
Pu 1.9863 1.1468 1.5504
Pu 1.9863 1.1468 6.3892
Ce 5.9588 3.4403 7.8061
Th 3.9726 2.2936 3.9320
```

- Total magnetic moment: 0.6 μB per formula unit
- SG: R3m
- Calculated density: 13.28 g cm⁻³



The calculated energies rank the structures as follows, beginning with the most stable: run w, run x.



Run w
Material: CePuTh
Method: DFT, GGA-PBE
State: optimized geometry

Cell and atoms, written as extended XYZ:
```
3
Lattice="3.4618 0.0000 0.0000 -1.7309 2.9980 0.0000 0.0000 0.0000 8.2243" Properties=species:S:1:pos:R:3 pbc="T T T"
Ce 0.0000 1.9987 5.5390
Pu 0.0000 0.0000 8.1846
Th 1.7309 0.9993 2.7252
```

- Total magnetic moment: 5.7 μB per formula unit
- SG: P3m1
- Calculated density: 11.99 g cm⁻³



Run x
Material: CePuTh
Method: DFT, GGA-PBE
State: optimized geometry

Cell and atoms, written as extended XYZ:
```
6
Lattice="3.4138 0.0000 0.0000 0.0000 5.2393 0.0000 0.0000 2.6197 8.8142" Properties=species:S:1:pos:R:3 pbc="T T T"
Pu 2.5604 2.6197 0.7834
Pu 0.8535 5.2393 8.0308
Ce 2.5604 2.6197 3.4747
Ce 0.8535 5.2393 5.3395
Th 2.5604 2.6197 7.2111
Th 0.8535 5.2393 1.6031
```

- Total magnetic moment: 0.5 μB per formula unit
- SG: Cmcm
- Calculated density: 12.98 g cm⁻³



Run y
Material: CePuTh
Method: DFT, GGA-PBE
State: optimized geometry

Cell and atoms, written as extended XYZ:
```
3
Lattice="3.4577 0.0000 0.0000 0.0000 3.4577 0.0000 -1.7289 -1.7289 7.0088" Properties=species:S:1:pos:R:3 pbc="T T T"
Pu 1.7289 1.7289 2.2560
Ce 0.0000 0.0000 0.0948
Th 0.0000 0.0000 4.6580
```

- Total magnetic moment: 5.6 μB per formula unit
- SG: I4mm
- Calculated density: 12.21 g cm⁻³



The calculated energies rank the structures as follows, beginning with the most stable: run y, run w, run x.



Run w
Material: CePuTh2
Method: DFT, GGA-PBE
State: optimized geometry

Cell and atoms, written as extended XYZ:
```
4
Lattice="3.6843 0.0000 0.0000 1.8422 3.1907 0.0000 1.8422 1.0636 10.2749" Properties=species:S:1:pos:R:3 pbc="T T T"
Th 1.8422 1.0636 6.8477
Th 5.5265 3.1907 3.4272
Pu 3.6843 2.1271 5.1375
Ce 0.0000 0.0000 0.0000
```

- Total magnetic moment: 1.9 μB per formula unit
- SG: R-3m
- Calculated density: 11.66 g cm⁻³



Run x
Material: CePuTh2
Method: DFT, GGA-PBE
State: optimized geometry

Cell and atoms, written as extended XYZ:
```
4
Lattice="-0.4530 2.9687 1.7806 -3.1160 1.5745 0.0048 -4.1878 -4.4467 9.7712" Properties=species:S:1:pos:R:3 pbc="T T T"
Ce -3.8890 0.0271 5.8108
Th -3.4487 -2.9771 7.5090
Th -1.9336 0.0354 2.8718
Pu -6.5517 -1.3873 10.9142
```

- Total magnetic moment: 6.0 μB per formula unit
- SG: R3m
- Calculated density: 11.76 g cm⁻³



Run y
Material: CePuTh2
Method: DFT, GGA-PBE
State: optimized geometry

Cell and atoms, written as extended XYZ:
```
4
Lattice="-2.5546 -3.8780 1.1795 -0.6797 -1.0013 -4.7641 4.1025 -2.7075 -0.0163" Properties=species:S:1:pos:R:3 pbc="T T T"
Pu -1.2773 -1.9390 0.5898
Th 2.0513 -1.3538 -0.0081
Th -0.3399 -0.5007 -2.3821
Ce 0.4341 -3.7934 -1.8004
```

- Total magnetic moment: 5.3 μB per formula unit
- SG: P4/mmm
- Calculated density: 12.17 g cm⁻³



Run z
Material: CePuTh2
Method: DFT, GGA-PBE
State: optimized geometry

Cell and atoms, written as extended XYZ:
```
4
Lattice="-1.2549 -5.3359 0.1246 2.4654 -3.3126 3.6071 -2.8352 -2.0516 4.2208" Properties=species:S:1:pos:R:3 pbc="T T T"
Pu 0.0000 0.0000 0.0000
Th -1.2185 -8.0251 5.9644
Th -0.4062 -2.6750 1.9881
Ce -0.8123 -5.3501 3.9763
```

- Total magnetic moment: 7.1 μB per formula unit
- SG: Fm-3m
- Calculated density: 12.08 g cm⁻³



The calculated energies rank the structures as follows, beginning with the most stable: run y, run x, run z, run w.



Run w
Material: Ce2PuTh
Method: DFT, GGA-PBE
State: optimized geometry

Cell and atoms, written as extended XYZ:
```
4
Lattice="-1.1399 -3.4107 -0.4459 -0.6692 -2.0793 2.8913 -9.4220 1.1080 0.8867" Properties=species:S:1:pos:R:3 pbc="T T T"
Ce -2.0749 -1.3396 0.8271
Ce -7.8737 0.5922 0.8742
Th -5.5838 -2.2015 1.6658
Pu -1.3142 -3.6239 1.6312
```

- Total magnetic moment: 1.6 μB per formula unit
- SG: R3m
- Calculated density: 11.88 g cm⁻³



Run x
Material: Ce2PuTh
Method: DFT, GGA-PBE
State: optimized geometry

Cell and atoms, written as extended XYZ:
```
4
Lattice="3.4042 0.0000 0.0000 0.0000 3.4042 0.0000 0.0000 0.0000 9.4736" Properties=species:S:1:pos:R:3 pbc="T T T"
Th 1.7021 1.7021 4.7368
Ce 0.0000 0.0000 2.2580
Ce 0.0000 0.0000 7.2156
Pu 1.7021 1.7021 0.0000
```

- Total magnetic moment: 5.4 μB per formula unit
- SG: P4/mmm
- Calculated density: 11.44 g cm⁻³



Run y
Material: Ce2PuTh
Method: DFT, GGA-PBE
State: optimized geometry

Cell and atoms, written as extended XYZ:
```
4
Lattice="-0.3099 5.3164 -1.0316 -3.8224 3.0099 2.3987 1.3787 3.5900 3.8256" Properties=species:S:1:pos:R:3 pbc="T T T"
Ce -2.0652 8.9372 3.8945
Ce -0.6884 2.9791 1.2982
Th 0.0000 0.0000 0.0000
Pu -1.3768 5.9581 2.5963
```

- Total magnetic moment: 7.5 μB per formula unit
- SG: Fm-3m
- Calculated density: 11.13 g cm⁻³



Run z
Material: Ce2PuTh
Method: DFT, GGA-PBE
State: optimized geometry

Cell and atoms, written as extended XYZ:
```
4
Lattice="3.5492 0.0000 0.0000 1.7746 3.0737 0.0000 1.7746 1.0246 10.0268" Properties=species:S:1:pos:R:3 pbc="T T T"
Pu 3.5492 2.0491 5.0134
Ce 1.7746 1.0246 6.5977
Ce 5.3238 3.0737 3.4291
Th 0.0000 0.0000 0.0000
```

- Total magnetic moment: 1.2 μB per formula unit
- SG: R-3m
- Calculated density: 11.48 g cm⁻³



The calculated energies rank the structures as follows, beginning with the most stable: run x, run y, run w, run z.



Run w
Material: Ce4PuTh
Method: DFT, GGA-PBE
State: optimized geometry

Cell and atoms, written as extended XYZ:
```
6
Lattice="6.1435 0.0000 0.0000 3.0717 5.3204 0.0000 3.0717 1.7735 5.0161" Properties=species:S:1:pos:R:3 pbc="T T T"
Pu 0.0000 0.0000 0.0000
Ce 6.1435 3.5469 0.6447
Ce 6.1435 1.7901 3.1292
Ce 4.6220 4.4254 3.1292
Ce 7.6649 4.4254 3.1292
Th 3.0717 1.7735 1.2540
```

- Total magnetic moment: 4.0 μB per formula unit
- SG: F-43m
- Calculated density: 10.50 g cm⁻³



Run x
Material: Ce4PuTh
Method: DFT, GGA-PBE
State: optimized geometry

Cell and atoms, written as extended XYZ:
```
6
Lattice="3.2388 0.8398 -0.5419 0.8393 3.2390 -0.5415 -1.9075 -1.9101 17.1617" Properties=species:S:1:pos:R:3 pbc="T T T"
Ce 0.4394 0.4376 13.6597
Ce -0.6336 -0.6345 5.8197
Ce 1.7312 1.7311 2.4186
Ce 2.8042 2.8032 10.2586
Pu 1.0853 1.0844 8.0392
Th 0.0000 0.0000 0.0000
```

- Total magnetic moment: 4.9 μB per formula unit
- SG: C2/m
- Calculated density: 10.56 g cm⁻³



The calculated energies rank the structures as follows, beginning with the most stable: run x, run w.



Run w
Material: CePuTi2
Method: DFT, GGA-PBE
State: optimized geometry

Cell and atoms, written as extended XYZ:
```
4
Lattice="4.6499 0.0000 0.0000 0.0000 4.2566 0.0000 0.0000 0.0000 4.2566" Properties=species:S:1:pos:R:3 pbc="T T T"
Pu 2.3249 2.1283 2.1283
Ti 0.0000 0.0000 2.1283
Ti 0.0000 2.1283 0.0000
Ce 2.3249 0.0000 0.0000
```

- Total magnetic moment: 5.5 μB per formula unit
- SG: P4/mmm
- Calculated density: 9.46 g cm⁻³



Run x
Material: CePuTi2
Method: DFT, GGA-PBE
State: optimized geometry

Cell and atoms, written as extended XYZ:
```
4
Lattice="3.0429 0.0000 0.0000 0.0000 3.0429 0.0000 0.0000 0.0000 9.2121" Properties=species:S:1:pos:R:3 pbc="T T T"
Ce 1.5214 1.5214 4.6060
Ti 0.0000 0.0000 7.0357
Ti 0.0000 0.0000 2.1764
Pu 1.5214 1.5214 0.0000
```

- Total magnetic moment: 4.5 μB per formula unit
- SG: P4/mmm
- Calculated density: 9.34 g cm⁻³



Run y
Material: CePuTi2
Method: DFT, GGA-PBE
State: optimized geometry

Cell and atoms, written as extended XYZ:
```
4
Lattice="3.0309 0.0000 0.0000 1.5154 2.6248 0.0000 1.5154 0.8749 10.4988" Properties=species:S:1:pos:R:3 pbc="T T T"
Pu 3.0309 1.7499 5.2494
Ti 1.5154 0.8749 7.6622
Ti 4.5463 2.6248 2.8366
Ce 0.0000 0.0000 0.0000
```

- Total magnetic moment: 4.8 μB per formula unit
- SG: R-3m
- Calculated density: 9.54 g cm⁻³



Run z
Material: CePuTi2
Method: DFT, GGA-PBE
State: optimized geometry

Cell and atoms, written as extended XYZ:
```
4
Lattice="4.9632 0.0000 0.0000 2.4816 4.2983 0.0000 2.4816 1.4328 4.0525" Properties=species:S:1:pos:R:3 pbc="T T T"
Ti 7.4449 4.2983 3.0394
Ti 2.4816 1.4328 1.0131
Ce 4.9632 2.8655 2.0262
Pu 0.0000 0.0000 0.0000
```

- Total magnetic moment: 6.8 μB per formula unit
- SG: Fm-3m
- Calculated density: 9.22 g cm⁻³



The calculated energies rank the structures as follows, beginning with the most stable: run w, run x, run z, run y.